Record 1
This record from the Alexandria database describes a relaxed NdBRh2 crystal. The functional is PBE-GGA.

Unit cell a=3.187 b=5.328 c=4.758 alpha=123.56 beta=90.00 gamma=90.00
Atoms (fractional coordinates):
Nd 0.500 0.000 0.000
B 0.500 0.500 0.000
Rh 0.000 0.324 0.660
Rh 0.000 0.676 0.340

## Properties
- Volume: 16.83 A^3/atom
- Energy of formation from the pure elements: -377 meV/atom

Record 2
This record from the Alexandria database describes a relaxed CdI2Br crystal. The functional is PBE-GGA.

Unit cell a=8.520 b=8.520 c=7.427 alpha=55.00 beta=55.00 gamma=90.00
Atoms (fractional coordinates):
I 0.690 0.125 0.250
I 0.060 0.625 0.250
I 0.375 0.310 0.750
I 0.875 0.940 0.750
Br 0.500 0.500 0.000
Br 0.250 0.750 0.500
Cd 0.000 0.000 0.000
Cd 0.750 0.250 0.500

## Properties
- Formation energy (no corrections): -0.169 eV per atom
- Volume: 39.41 A^3/atom
- Relative energy among the computed polymorphs: 0.000 eV per atom

Record 3
This record from the Alexandria database describes a relaxed Na2MnPt crystal. The functional is PBE-GGA.

Unit cell a=4.799 b=4.799 c=4.799 alpha=60.00 beta=60.00 gamma=60.00
Atoms (fractional coordinates):
Na 0.250 0.250 0.250
Na 0.750 0.750 0.750
Mn 0.000 0.000 0.000
Pt 0.500 0.500 0.500

## Properties
- Volume: 19.54 A^3/atom
- Energy of formation from the pure elements: 398 meV/atom
- Relative energy among the computed polymorphs: 0.015 eV per atom

Record 4
This record from the Alexandria database describes a relaxed InW crystal. The functional is PBE-GGA.

Unit cell a=4.951 b=15.472 c=8.412 alpha=90.00 beta=90.00 gamma=90.00
Atoms (fractional coordinates):
In 0.000 0.000 0.665
In 0.000 0.000 0.335
In 0.250 0.750 0.585
In 0.250 0.750 0.915
In 0.000 0.500 0.165
In 0.000 0.500 0.835
In 0.250 0.250 0.085
In 0.250 0.250 0.415
In 0.500 0.000 0.165
In 0.500 0.000 0.835
In 0.750 0.750 0.085
In 0.750 0.750 0.415
In 0.500 0.500 0.665
In 0.500 0.500 0.335
In 0.750 0.250 0.585
In 0.750 0.250 0.915
W 0.000 0.083 0.000
W 0.000 0.917 0.000
W 0.250 0.667 0.250
W 0.250 0.833 0.250
W 0.000 0.583 0.500
W 0.000 0.417 0.500
W 0.250 0.167 0.750
W 0.250 0.333 0.750
W 0.500 0.083 0.500
W 0.500 0.917 0.500
W 0.750 0.667 0.750
W 0.750 0.833 0.750
W 0.500 0.583 0.000
W 0.500 0.417 0.000
W 0.750 0.167 0.250
W 0.750 0.333 0.250

## Properties
- Volume: 20.13 A^3/atom
- Energy of formation from the pure elements: 862 meV/atom
- Relative energy among the computed polymorphs: 0.460 eV per atom

Record 5
This record from the Alexandria database describes a relaxed La4Tb4Th crystal. The functional is PBE-GGA.

Unit cell a=5.160 b=8.143 c=8.143 alpha=84.24 beta=71.53 gamma=71.53
Atoms (fractional coordinates):
La 0.672 0.328 0.328
La 0.328 0.672 0.672
La 0.000 0.672 0.328
La 0.000 0.328 0.672
Tb 0.661 0.678 0.000
Tb 0.339 0.322 0.000
Tb 0.661 0.000 0.678
Tb 0.339 0.000 0.322
Th 0.000 0.000 0.000

## Properties
- Volume: 34.20 A^3/atom
- Energy of formation from the pure elements: 32 meV/atom

Record 6
This record from the Alexandria database describes a relaxed Pr2DyHg crystal. The functional is PBE-GGA.

Unit cell a=3.748 b=3.748 c=8.990 alpha=90.00 beta=90.00 gamma=90.00
Atoms (fractional coordinates):
Pr 0.000 0.000 0.775
Pr 0.000 0.000 0.225
Hg 0.500 0.500 0.000
Dy 0.500 0.500 0.500

## Properties
- Volume: 31.57 A^3/atom
- Energy of formation from the pure elements: -212 meV/atom
- Relative energy among the computed polymorphs: 0.019 eV per atom

Record 7
This record from the Alexandria database describes a relaxed Li2InAg2Au crystal. The functional is PBE-GGA.

Unit cell a=4.120 b=5.839 c=8.739 alpha=90.00 beta=90.00 gamma=90.00
Atoms (fractional coordinates):
Li 0.000 0.378 0.847
Li 0.500 0.145 0.335
Li 0.000 0.878 0.153
Li 0.500 0.645 0.665
In 0.500 0.145 0.669
In 0.500 0.645 0.331
Ag 0.500 0.116 0.001
Ag 0.000 0.363 0.166
Ag 0.500 0.616 0.999
Ag 0.000 0.863 0.834
Au 0.000 0.898 0.491
Au 0.000 0.398 0.509

## Properties
- Volume: 17.52 A^3/atom
- Energy of formation from the pure elements: -272 meV/atom

Record 8
This record from the Alexandria database describes a relaxed Zr2AlSe crystal. The functional is PBE-GGA.

Unit cell a=5.190 b=5.190 c=5.177 alpha=60.07 beta=60.07 gamma=42.95
Atoms (fractional coordinates):
Se 0.250 0.250 0.250
Zr 0.988 0.988 0.012
Zr 0.512 0.512 0.488
Al 0.750 0.750 0.750

## Properties
- Formation energy (no corrections): -0.507 eV per atom
- Volume: 20.05 A^3/atom
- Relative energy among the computed polymorphs: 0.185 eV per atom

Record 9
This record from the Alexandria database describes a relaxed MnFe4B2P crystal. The functional is PBE-GGA.

Unit cell a=6.431 b=6.431 c=6.431 alpha=129.68 beta=129.68 gamma=73.92
Atoms (fractional coordinates):
Mn 0.500 0.500 0.000
Mn 0.000 0.000 0.000
Fe 0.532 0.032 0.842
Fe 0.191 0.691 0.158
Fe 0.032 0.191 0.500
Fe 0.691 0.532 0.500
Fe 0.468 0.968 0.158
Fe 0.809 0.309 0.842
Fe 0.968 0.809 0.500
Fe 0.309 0.468 0.500
B 0.882 0.382 0.264
B 0.118 0.618 0.736
B 0.382 0.118 0.500
B 0.618 0.882 0.500
P 0.250 0.250 0.000
P 0.750 0.750 0.000

## Properties
- Volume: 9.60 A^3/atom
- Energy of formation from the pure elements: -398 meV/atom

Record 10
This record from the Alexandria database describes a relaxed LiTmHgCl6 crystal. The functional is PBE-GGA.

Unit cell a=6.660 b=6.660 c=12.049 alpha=90.00 beta=90.00 gamma=120.00
Atoms (fractional coordinates):
Li 0.000 0.000 0.000
Li 0.000 0.000 0.500
Tm 0.333 0.667 0.250
Tm 0.667 0.333 0.750
Hg 0.667 0.333 0.250
Hg 0.333 0.667 0.750
Cl 0.657 0.669 0.125
Cl 0.012 0.343 0.125
Cl 0.343 0.012 0.625
Cl 0.988 0.657 0.875
Cl 0.331 0.343 0.375
Cl 0.012 0.669 0.375
Cl 0.669 0.012 0.875
Cl 0.657 0.988 0.375
Cl 0.988 0.331 0.625
Cl 0.331 0.988 0.125
Cl 0.669 0.657 0.625
Cl 0.343 0.331 0.875

## Properties
- Formation energy (no corrections): -1.565 eV per atom
- Volume: 25.72 A^3/atom

Record 11
This record from the Alexandria database describes a relaxed TlAuF6 crystal. The functional is PBE-GGA.

Unit cell a=5.901 b=5.901 c=28.488 alpha=90.00 beta=90.00 gamma=90.00
Atoms (fractional coordinates):
Tl 0.660 0.830 0.266
Tl 0.340 0.170 0.766
Tl 0.830 0.660 0.734
Tl 0.330 0.840 0.016
Tl 0.670 0.160 0.516
Tl 0.840 0.330 0.984
Tl 0.160 0.670 0.484
Tl 0.170 0.340 0.234
Au 0.815 0.991 0.382
Au 0.185 0.009 0.882
Au 0.991 0.815 0.618
Au 0.491 0.685 0.132
Au 0.509 0.315 0.632
Au 0.685 0.491 0.868
Au 0.315 0.509 0.368
Au 0.009 0.185 0.118
F 0.442 0.442 0.500
F 0.058 0.942 0.750
F 0.942 0.058 0.250
F 0.558 0.558 0.000
F 0.967 0.360 0.500
F 0.033 0.640 0.000
F 0.360 0.967 0.500
F 0.860 0.533 0.250
F 0.140 0.467 0.750
F 0.533 0.860 0.750
F 0.467 0.140 0.250
F 0.640 0.033 0.000
F 0.082 0.963 0.423
F 0.918 0.037 0.923
F 0.963 0.082 0.577
F 0.537 0.582 0.673
F 0.463 0.418 0.173
F 0.173 0.658 0.570
F 0.827 0.342 0.070
F 0.658 0.173 0.430
F 0.342 0.827 0.930
F 0.842 0.673 0.820
F 0.327 0.158 0.680
F 0.673 0.842 0.180
F 0.182 0.043 0.168
F 0.457 0.682 0.418
F 0.543 0.318 0.918
F 0.682 0.457 0.582
F 0.318 0.543 0.082
F 0.818 0.957 0.668
F 0.043 0.182 0.832
F 0.957 0.818 0.332
F 0.058 0.484 0.411
F 0.016 0.558 0.661
F 0.984 0.442 0.161
F 0.558 0.016 0.339
F 0.442 0.984 0.839
F 0.942 0.516 0.911
F 0.484 0.058 0.589
F 0.516 0.942 0.089
F 0.171 0.171 0.000
F 0.329 0.671 0.250
F 0.671 0.329 0.750
F 0.829 0.829 0.500
F 0.037 0.918 0.077
F 0.582 0.537 0.327
F 0.418 0.463 0.827
F 0.158 0.327 0.320

## Properties
- Formation energy (no corrections): -1.408 eV per atom
- Volume: 15.50 A^3/atom
- Relative energy among the computed polymorphs: 0.000 eV per atom

Record 12
This record from the Alexandria database describes a relaxed Nb3CdN crystal. The functional is PBE-GGA.

Unit cell a=4.973 b=4.973 c=4.973 alpha=90.00 beta=90.00 gamma=90.00
Atoms (fractional coordinates):
Nb 0.000 0.500 0.000
Nb 0.000 0.000 0.500
Nb 0.500 0.000 0.000
N 0.500 0.500 0.500
Cd 0.000 0.000 0.000

## Properties
- Formation energy (no corrections): 3.038 eV per atom
- Volume: 24.60 A^3/atom

Record 13
This record from the Alexandria database describes a relaxed Hf2CoW crystal. The functional is PBE-GGA.

Unit cell a=7.165 b=7.165 c=5.797 alpha=51.83 beta=51.83 gamma=90.00
Atoms (fractional coordinates):
Co 0.500 0.500 0.000
Co 0.250 0.750 0.500
Hf 0.589 0.125 0.250
Hf 0.161 0.625 0.250
Hf 0.375 0.411 0.750
Hf 0.875 0.839 0.750
W 0.000 0.000 0.000
W 0.750 0.250 0.500

## Properties
- Volume: 18.07 A^3/atom
- Energy of formation from the pure elements: 454 meV/atom

Record 14
This record from the Alexandria database describes a relaxed Dy4Tm4Mg crystal. The functional is PBE-GGA.

Unit cell a=4.973 b=7.775 c=7.775 alpha=84.13 beta=71.35 gamma=71.35
Atoms (fractional coordinates):
Dy 0.667 0.666 0.000
Dy 0.333 0.334 0.000
Dy 0.667 0.000 0.666
Dy 0.333 0.000 0.334
Tm 0.666 0.334 0.334
Tm 0.334 0.666 0.666
Tm 0.000 0.666 0.334
Tm 0.000 0.334 0.666
Mg 0.000 0.000 0.000

## Properties
- Volume: 29.99 A^3/atom
- Energy of formation from the pure elements: 28 meV/atom
- Relative energy among the computed polymorphs: 0.000 eV per atom

Record 15
This record from the Alexandria database describes a relaxed Sc4HPb crystal. The functional is PBE-GGA.

Unit cell a=5.093 b=8.015 c=8.175 alpha=90.00 beta=90.00 gamma=129.46
Atoms (fractional coordinates):
Sc 0.513 0.771 0.750
Sc 0.487 0.229 0.250
Sc 0.280 0.032 0.750
Sc 0.720 0.968 0.250
Sc 0.017 0.753 0.065
Sc 0.983 0.247 0.565
Sc 0.017 0.753 0.435
Sc 0.983 0.247 0.935
H 0.933 0.072 0.750
H 0.067 0.928 0.250
Pb 0.748 0.501 0.750
Pb 0.252 0.499 0.250

## Properties
- Volume: 21.47 A^3/atom

Record 16
This record from the Alexandria database describes a relaxed ScBeIr crystal. The functional is PBE-GGA.

Unit cell a=4.034 b=4.034 c=3.205 alpha=90.00 beta=90.00 gamma=120.00
Atoms (fractional coordinates):
Sc 0.333 0.667 0.666
Be 0.000 0.000 0.167
Ir 0.667 0.333 0.167

## Properties
- Volume: 15.06 A^3/atom
- Energy of formation from the pure elements: -648 meV/atom
- Relative energy among the computed polymorphs: 0.076 eV per atom

Record 17
This record from the Alexandria database describes a relaxed Pr3HgRuCl crystal. The functional is PBE-GGA.

Unit cell a=4.533 b=8.107 c=9.645 alpha=102.89 beta=90.00 gamma=90.00
Atoms (fractional coordinates):
Pr 0.750 0.831 0.101
Pr 0.250 0.169 0.899
Pr 0.250 0.710 0.428
Pr 0.750 0.290 0.572
Pr 0.750 0.410 0.176
Pr 0.250 0.590 0.824
Hg 0.250 0.182 0.263
Hg 0.750 0.818 0.737
Ru 0.250 0.592 0.117
Ru 0.750 0.408 0.883
Cl 0.250 0.084 0.600
Cl 0.750 0.916 0.400

## Properties
- Formation energy (no corrections): -0.611 eV per atom
- Volume: 28.79 A^3/atom

Record 18
This record from the Alexandria database describes a relaxed CaMgI2N crystal. The functional is PBE-GGA.

Unit cell a=6.215 b=6.215 c=4.700 alpha=90.00 beta=90.00 gamma=90.00
Atoms (fractional coordinates):
I 0.000 0.500 0.000
I 0.500 0.000 0.000
Ca 0.000 0.000 0.000
Mg 0.500 0.500 0.500
N 0.000 0.000 0.500

## Properties
- Formation energy (no corrections): 0.045 eV per atom
- Volume: 36.31 A^3/atom
- Relative energy among the computed polymorphs: 0.331 eV per atom

Record 19
This record from the Alexandria database describes a relaxed SrCaPrY crystal. The functional is PBE-GGA.

Unit cell a=6.057 b=6.057 c=6.057 alpha=60.00 beta=60.00 gamma=60.00
Atoms (fractional coordinates):
Pr 0.750 0.750 0.750
Y 0.000 0.000 0.000
Ca 0.500 0.500 0.500
Sr 0.250 0.250 0.250

## Properties
- Volume: 39.29 A^3/atom
- Energy of formation from the pure elements: 164 meV/atom

Record 20
This record from the Alexandria database describes a relaxed B2PtCl crystal. The functional is PBE-GGA.

Unit cell a=5.138 b=5.138 c=6.094 alpha=65.07 beta=65.07 gamma=90.00
Atoms (fractional coordinates):
B 0.686 0.125 0.250
B 0.064 0.625 0.250
B 0.375 0.314 0.750
B 0.875 0.936 0.750
Pt 0.000 0.000 0.000
Pt 0.750 0.250 0.500
Cl 0.500 0.500 0.000
Cl 0.250 0.750 0.500

## Properties
- Formation energy (no corrections): 0.611 eV per atom
- Volume: 16.15 A^3/atom
- Relative energy among the computed polymorphs: 0.000 eV per atom

E, record by record: -27.657; -12.729; -16.258; -223.471; -45.360; -15.310; -34.356; -26.350; -129.944; -63.706; -225.053; -24.260; -76.303; -37.641; -67.512; -20.862; -58.861; -14.796; -14.269; -37.600 eV for the cell shown